(1)
A plane-wave DFT calculation with PBE-GGA was carried out for a geometry-optimized Na3TbSc3Te8 structure.

```
Na3TbSc3Te8
1.0
-0.3623 -7.4756 3.8023
1.6775 0.4557 -8.2116
6.5052 2.6160 5.7630
Na Tb Sc Te
3 1 3 8
direct
0.0000 0.0000 0.0000
0.0000 0.5000 0.0000
0.5000 0.5000 0.0000
0.0000 0.0000 0.5000
0.5000 0.0000 0.5000
0.5000 0.5000 0.5000
0.0000 0.5000 0.5000
0.2599 0.5197 0.2798
0.7401 0.4803 0.7202
0.7494 0.4988 0.2725
0.2506 0.5012 0.7275
0.7494 0.0228 0.2725
0.2506 0.9772 0.7275
0.2734 0.0228 0.2725
0.7266 0.9772 0.7275
```

Mass density (Mg/m³): 4.9
Space group: R-3m, No. 166
Magnetization (μB per formula unit): 0.0
E_tot (eV/atom): -4.675

(2)
A plane-wave DFT calculation with PBE-GGA was carried out for a geometry-optimized PuTa2Re structure.

```
PuTa2Re
1.0
-0.8883 1.8673 -2.4113
1.9929 -1.5458 -1.9312
-5.3961 -4.7983 -1.7277
Re Ta Pu
1 2 1
direct
0.5000 0.5000 0.0000
0.0000 0.0000 0.7835
0.0000 0.0000 0.2165
0.5000 0.5000 0.5000
```

Mass density (Mg/m³): 17.6
Space group: P4/mmm, No. 123
Magnetization (μB per formula unit): 4.9
Formation energy from the elements (eV per atom): 0.03

(3)
A plane-wave DFT calculation with PBE-GGA was carried out for a geometry-optimized La7Pr2Er3 structure.

```
La7Pr2Er3
1.0
-0.9050 -1.2307 3.2676
-0.4664 -6.0874 -2.4219
16.8304 -7.3052 1.9100
La Pr Er
7 2 3
direct
0.5000 0.2281 0.5090
0.5000 0.7719 0.4910
0.0000 0.5532 0.1647
0.0000 0.0000 0.0000
0.0000 0.4468 0.8353
0.5000 0.9417 0.8286
0.5000 0.0583 0.1714
0.5000 0.6102 0.3298
0.5000 0.3898 0.6702
0.5000 0.5000 0.0000
0.0000 0.1186 0.3385
0.0000 0.8814 0.6615
```

Mass density (Mg/m³): 6.9
Space group: P2/m, No. 10
Magnetization (μB per formula unit): 0.0
Formation energy from the elements (eV per atom): 0.06

(4)
A plane-wave DFT calculation with PBE-GGA was carried out for a geometry-optimized Dy2Te2S structure.

```
Dy2Te2S
1.0
-3.5490 5.3240 0.1211
-3.7422 1.5020 -6.6014
-7.6336 -1.2380 -0.1838
Dy Te S
4 4 2
direct
0.5997 0.6680 0.1325
0.9003 0.8675 0.3320
0.0997 0.1325 0.6680
0.4003 0.3320 0.8675
0.3531 0.7727 0.5212
0.6469 0.2273 0.4788
0.1469 0.4788 0.2273
0.8531 0.5212 0.7727
0.7500 0.0000 0.0000
0.2500 0.0000 0.0000
```

Mass density (Mg/m³): 6.9
Space group: Ibam, No. 72
Magnetization (μB per formula unit): 0.0
E_tot (eV/atom): -5.501

(5)
A plane-wave DFT calculation with PBE-GGA was carried out for a geometry-optimized Cd2CoRu structure.

```
Cd2CoRu
1.0
2.7819 -0.0025 0.0000
-0.9283 2.6225 0.0000
0.0000 0.0000 9.0077
Cd Co Ru
2 1 1
direct
0.0000 0.0000 0.0079
0.0000 0.0000 0.4921
0.5000 0.5000 0.2500
0.5000 0.5000 0.7500
```

Mass density (Mg/m³): 9.7
Space group: Cmmm, No. 65
Magnetization (μB per formula unit): 2.5
Formation energy from the elements (eV per atom): 0.47

(6)
A plane-wave DFT calculation with PBE-GGA was carried out for a geometry-optimized ScInMo2 structure.

```
ScInMo2
1.0
4.5470 0.0000 0.0000
0.0000 3.9862 0.0000
0.0000 0.0000 3.9862
In Mo Sc
1 2 1
direct
0.5000 0.0000 0.5000
0.0000 0.0000 0.0000
0.0000 0.5000 0.5000
0.5000 0.5000 0.0000
```

Mass density (Mg/m³): 8.1
Space group: P4/mmm, No. 123
Magnetization (μB per formula unit): 0.0
Formation energy from the elements (eV per atom): 0.12

Q: Which of these has the lowest mass density?
A: Na3TbSc3Te8